Entry 1:
A relaxed structure of Mg2MoRh, computed with GGA-PBE.

Values from the calculation:
* formation enthalpy at 0 K: 0.23 eV per atom
* symmetry: No. 123
* E: -20.4 eV/cell
* magnetic moment: 0.63 μB per formula unit

Cell: 4.755 4.755 2.887 Å, 90.00 90.00 90.00°
Fractional coordinates of all 4 atoms:
Mg 0.000 0.500 0.000
Mg 0.500 0.000 0.000
Mo 0.000 0.000 0.500
Rh 0.500 0.500 0.500

Entry 2:
A relaxed structure of Hf2Zr3Tc2, computed with GGA-PBE.

Values from the calculation:
* formation enthalpy at 0 K: -0.15 eV per atom
* symmetry: No. 65
* E: -67.3 eV/cell
* magnetic moment: 0.00 μB per formula unit

Cell: 13.546 13.546 3.265 Å, 90.00 90.00 166.02°
Fractional coordinates of all 7 atoms:
Hf 0.197 0.803 0.000
Hf 0.803 0.197 0.000
Zr 0.079 0.921 0.000
Zr 0.500 0.500 0.500
Zr 0.921 0.079 0.000
Tc 0.359 0.641 0.500
Tc 0.641 0.359 0.500

Entry 3:
A relaxed structure of VSiN2, computed with GGA-PBE.

Values from the calculation:
* energy relative to the elements, uncorrected: -0.501 eV/atom
* symmetry: No. 166
* E: -33.2 eV/cell
* magnetic moment: 0.00 μB per formula unit

Cell: 6.117 6.117 6.117 Å, 26.59 26.59 26.59°
Fractional coordinates of all 4 atoms:
V 0.000 0.000 0.000
Si 0.500 0.500 0.500
N 0.399 0.399 0.399
N 0.601 0.601 0.601

Entry 4:
A relaxed structure of Cd5Hg3, computed with GGA-PBE.

Values from the calculation:
* formation enthalpy at 0 K: 0.02 eV per atom
* symmetry: No. 65
* E: -5.3 eV/cell
* magnetic moment: 0.00 μB per formula unit

Cell: 6.437 6.437 4.518 Å, 90.00 90.00 90.90°
Fractional coordinates of all 8 atoms:
Cd 0.000 0.000 0.000
Cd 0.000 0.500 0.000
Cd 0.260 0.260 0.500
Cd 0.500 0.000 0.000
Cd 0.740 0.740 0.500
Hg 0.236 0.764 0.500
Hg 0.500 0.500 0.000
Hg 0.764 0.236 0.500

Entry 5:
A relaxed structure of HI2Br, computed with GGA-PBE.

Values from the calculation:
* symmetry: No. 122
* E: -11.9 eV/cell
* magnetic moment: 0.00 μB per formula unit

Cell: 6.772 6.772 6.772 Å, 118.21 118.21 93.13°
Fractional coordinates of all 8 atoms:
H 0.000 0.000 0.000
H 0.750 0.250 0.500
I 0.375 0.248 0.373
I 0.752 0.125 0.127
I 0.875 0.002 0.627
I 0.998 0.625 0.873
Br 0.250 0.750 0.500
Br 0.500 0.500 0.000

Entry 6:
A relaxed structure of CuReP2, computed with GGA-PBE.

Values from the calculation:
* formation enthalpy at 0 K: -0.02 eV per atom
* symmetry: No. 166
* E: -27.5 eV/cell
* magnetic moment: 0.00 μB per formula unit

Cell: 7.245 7.245 7.245 Å, 24.18 24.18 24.18°
Fractional coordinates of all 4 atoms:
Cu 0.000 0.000 0.000
Re 0.500 0.500 0.500
P 0.248 0.248 0.248
P 0.752 0.752 0.752

Entry 7:
A relaxed structure of AcCdAg2, computed with GGA-PBE.

Values from the calculation:
* formation enthalpy at 0 K: -0.23 eV per atom
* symmetry: No. 63
* E: -23.3 eV/cell
* magnetic moment: 0.00 μB per formula unit

Cell: 10.582 10.582 4.917 Å, 90.00 90.00 157.41°
Fractional coordinates of all 8 atoms:
Ac 0.098 0.902 0.750
Ac 0.902 0.098 0.250
Cd 0.331 0.669 0.750
Cd 0.669 0.331 0.250
Ag 0.263 0.737 0.250
Ag 0.467 0.533 0.750
Ag 0.533 0.467 0.250
Ag 0.737 0.263 0.750

Entry 8:
A relaxed structure of NaSbCl5, computed with GGA-PBE.

Values from the calculation:
* energy relative to the elements, uncorrected: -0.987 eV/atom
* symmetry: No. 15
* E: -43.2 eV/cell
* magnetic moment: 0.00 μB per formula unit

Cell: 7.117 7.117 9.574 Å, 104.77 104.77 96.84°
Fractional coordinates of all 14 atoms:
Na 0.059 0.941 0.750
Na 0.941 0.059 0.250
Sb 0.000 0.500 0.000
Sb 0.500 0.000 0.500
Cl 0.198 0.619 0.850
Cl 0.203 0.238 0.031
Cl 0.238 0.203 0.531
Cl 0.238 0.762 0.250
Cl 0.381 0.802 0.650
Cl 0.619 0.198 0.350
Cl 0.762 0.238 0.750
Cl 0.762 0.797 0.469
Cl 0.797 0.762 0.969
Cl 0.802 0.381 0.150

Entry 9:
A relaxed structure of CsPbBrCl2, computed with GGA-PBE.

Values from the calculation:
* energy relative to the elements, uncorrected: -1.442 eV/atom
* symmetry: No. 123
* E: -17.1 eV/cell
* magnetic moment: 0.00 μB per formula unit

Cell: 5.723 5.723 6.016 Å, 90.00 90.00 90.00°
Fractional coordinates of all 5 atoms:
Cs 0.000 0.000 0.000
Pb 0.500 0.500 0.500
Br 0.500 0.500 0.000
Cl 0.000 0.500 0.500
Cl 0.500 0.000 0.500

Entry 10:
A relaxed structure of KMgZn2Pt, computed with GGA-PBE.

Values from the calculation:
* formation enthalpy at 0 K: -0.31 eV per atom
* symmetry: No. 123
* E: -12.9 eV/cell
* magnetic moment: 0.00 μB per formula unit

Cell: 4.991 4.991 5.058 Å, 90.00 90.00 90.00°
Fractional coordinates of all 5 atoms:
K 0.000 0.000 0.000
Mg 0.500 0.500 0.000
Zn 0.000 0.500 0.500
Zn 0.500 0.000 0.500
Pt 0.500 0.500 0.500

Entry 11:
A relaxed structure of UTl6I12, computed with GGA-PBE.

Values from the calculation:
* energy relative to the elements, uncorrected: -0.612 eV/atom
* symmetry: No. 148
* E: -55.7 eV/cell
* magnetic moment: 0.69 μB per formula unit

Cell: 9.926 9.926 9.926 Å, 99.06 99.06 99.06°
Fractional coordinates of all 19 atoms:
U 0.000 0.000 0.000
Tl 0.166 0.359 0.642
Tl 0.358 0.834 0.641
Tl 0.359 0.642 0.166
Tl 0.641 0.358 0.834
Tl 0.642 0.166 0.359
Tl 0.834 0.641 0.358
I 0.010 0.931 0.705
I 0.069 0.295 0.990
I 0.168 0.561 0.404
I 0.295 0.990 0.069
I 0.404 0.168 0.561
I 0.439 0.596 0.832
I 0.561 0.404 0.168
I 0.596 0.832 0.439
I 0.705 0.010 0.931
I 0.832 0.439 0.596
I 0.931 0.705 0.010
I 0.990 0.069 0.295

Entry 12:
A relaxed structure of BaSr3La, computed with GGA-PBE.

Values from the calculation:
* formation enthalpy at 0 K: 0.25 eV per atom
* symmetry: No. 12
* E: -21.3 eV/cell
* magnetic moment: 0.00 μB per formula unit

Cell: 6.490 6.490 13.649 Å, 91.81 91.81 66.45°
Fractional coordinates of all 10 atoms:
Ba 0.242 0.758 0.000
Ba 0.758 0.242 0.000
Sr 0.022 0.022 0.647
Sr 0.276 0.276 0.185
Sr 0.367 0.367 0.738
Sr 0.633 0.633 0.262
Sr 0.724 0.724 0.815
Sr 0.978 0.978 0.353
La 0.331 0.331 0.466
La 0.669 0.669 0.534

Entry 13:
A relaxed structure of RbGeSbTe3, computed with GGA-PBE.

Values from the calculation:
* energy relative to the elements, uncorrected: -0.385 eV/atom
* symmetry: No. 11
* E: -42.9 eV/cell
* magnetic moment: 0.00 μB per formula unit

Cell: 9.490 4.304 12.072 Å, 90.00 111.88 90.00°
Fractional coordinates of all 12 atoms:
Rb 0.240 0.250 0.289
Rb 0.760 0.750 0.711
Ge 0.115 0.250 0.552
Ge 0.885 0.750 0.448
Sb 0.365 0.750 0.844
Sb 0.635 0.250 0.156
Te 0.111 0.250 0.776
Te 0.325 0.750 0.575
Te 0.389 0.750 0.100
Te 0.611 0.250 0.900
Te 0.675 0.250 0.425
Te 0.889 0.750 0.224

Entry 14:
A relaxed structure of AcTbMgOs, computed with GGA-PBE.

Values from the calculation:
* formation enthalpy at 0 K: 0.09 eV per atom
* symmetry: No. 216
* E: -21.2 eV/cell
* magnetic moment: 0.00 μB per formula unit

Cell: 5.234 5.234 5.234 Å, 60.00 60.00 60.00°
Fractional coordinates of all 4 atoms:
Ac 0.000 0.000 0.000
Tb 0.500 0.500 0.500
Mg 0.250 0.250 0.250
Os 0.750 0.750 0.750

Entry 15:
A relaxed structure of PrErMg3, computed with GGA-PBE.

Values from the calculation:
* formation enthalpy at 0 K: 0.36 eV per atom
* symmetry: No. 148
* E: -24.7 eV/cell
* magnetic moment: 0.00 μB per formula unit

Cell: 7.269 7.269 7.269 Å, 65.51 65.51 65.51°
Fractional coordinates of all 10 atoms:
Pr 0.092 0.092 0.092
Pr 0.908 0.908 0.908
Er 0.405 0.405 0.405
Er 0.595 0.595 0.595
Mg 0.015 0.269 0.464
Mg 0.269 0.464 0.015
Mg 0.464 0.015 0.269
Mg 0.536 0.985 0.731
Mg 0.731 0.536 0.985
Mg 0.985 0.731 0.536

Entry 16:
A relaxed structure of Ac2PbI, computed with GGA-PBE.

Values from the calculation:
* energy relative to the elements, uncorrected: -0.730 eV/atom
* symmetry: No. 59
* E: -32.8 eV/cell
* magnetic moment: 0.00 μB per formula unit

Cell: 4.880 8.355 8.166 Å, 90.00 90.00 90.00°
Fractional coordinates of all 8 atoms:
Ac 0.250 0.004 0.226
Ac 0.250 0.496 0.226
Ac 0.750 0.504 0.774
Ac 0.750 0.996 0.774
Pb 0.250 0.750 0.902
Pb 0.750 0.250 0.098
I 0.250 0.250 0.583
I 0.750 0.750 0.417

Entry 17:
A relaxed structure of DyScAlCu, computed with GGA-PBE.

Values from the calculation:
* formation enthalpy at 0 K: -0.30 eV per atom
* symmetry: No. 216
* E: -20.0 eV/cell
* magnetic moment: 0.00 μB per formula unit

Cell: 4.892 4.892 4.892 Å, 60.00 60.00 60.00°
Fractional coordinates of all 4 atoms:
Dy 0.000 0.000 0.000
Sc 0.500 0.500 0.500
Al 0.250 0.250 0.250
Cu 0.750 0.750 0.750

Entry 18:
A relaxed structure of EuSbPb2, computed with GGA-PBE.

Values from the calculation:
* energy relative to the elements, uncorrected: -0.444 eV/atom
* symmetry: No. 123
* E: -23.6 eV/cell
* magnetic moment: 6.96 μB per formula unit

Cell: 4.813 4.813 5.159 Å, 90.00 90.00 90.00°
Fractional coordinates of all 4 atoms:
Eu 0.000 0.000 0.000
Sb 0.500 0.500 0.000
Pb 0.000 0.500 0.500
Pb 0.500 0.000 0.500

Entry 19:
A relaxed structure of Li3Sm3Te2O12, computed with GGA-PBE.

Values from the calculation:
* energy relative to the elements, uncorrected: -2.323 eV/atom
* symmetry: No. 230
* E: -528.6 eV/cell
* magnetic moment: 0.00 μB per formula unit

Cell: 10.912 10.912 10.912 Å, 109.47 109.47 109.47°
Fractional coordinates of all 80 atoms:
Li 0.125 0.750 0.875
Li 0.125 0.875 0.250
Li 0.250 0.125 0.875
Li 0.250 0.625 0.375
Li 0.375 0.250 0.625
Li 0.375 0.625 0.750
Li 0.625 0.375 0.250
Li 0.625 0.750 0.375
Li 0.750 0.375 0.625
Li 0.750 0.875 0.125
Li 0.875 0.125 0.750
Li 0.875 0.250 0.125
Sm 0.125 0.250 0.375
Sm 0.125 0.375 0.750
Sm 0.250 0.375 0.125
Sm 0.250 0.875 0.625
Sm 0.375 0.125 0.250
Sm 0.375 0.750 0.125
Sm 0.625 0.250 0.875
Sm 0.625 0.875 0.750
Sm 0.750 0.125 0.375
Sm 0.750 0.625 0.875
Sm 0.875 0.625 0.250
Sm 0.875 0.750 0.625
Te 0.000 0.000 0.000
Te 0.000 0.000 0.500
Te 0.000 0.500 0.000
Te 0.000 0.500 0.500
Te 0.500 0.000 0.000
Te 0.500 0.000 0.500
Te 0.500 0.500 0.000
Te 0.500 0.500 0.500
O 0.025 0.196 0.118
O 0.025 0.329 0.906
O 0.077 0.696 0.671
O 0.077 0.882 0.406
O 0.094 0.618 0.423
O 0.094 0.975 0.671
O 0.118 0.025 0.196
O 0.118 0.594 0.923
O 0.171 0.196 0.577
O 0.171 0.475 0.594
O 0.196 0.118 0.025
O 0.196 0.577 0.171
O 0.304 0.329 0.923
O 0.304 0.475 0.382
O 0.329 0.906 0.025
O 0.329 0.923 0.304
O 0.382 0.304 0.475
O 0.382 0.577 0.906
O 0.406 0.077 0.882
O 0.406 0.829 0.525
O 0.423 0.094 0.618
O 0.423 0.829 0.804
O 0.475 0.382 0.304
O 0.475 0.594 0.171
O 0.525 0.406 0.829
O 0.525 0.618 0.696
O 0.577 0.171 0.196
O 0.577 0.906 0.382
O 0.594 0.171 0.475
O 0.594 0.923 0.118
O 0.618 0.423 0.094
O 0.618 0.696 0.525
O 0.671 0.077 0.696
O 0.671 0.094 0.975
O 0.696 0.525 0.618
O 0.696 0.671 0.077
O 0.804 0.423 0.829
O 0.804 0.882 0.975
O 0.829 0.525 0.406
O 0.829 0.804 0.423
O 0.882 0.406 0.077
O 0.882 0.975 0.804
O 0.906 0.025 0.329
O 0.906 0.382 0.577
O 0.923 0.118 0.594
O 0.923 0.304 0.329
O 0.975 0.671 0.094
O 0.975 0.804 0.882

Entry 20:
A relaxed structure of Sr2HgBr2, computed with GGA-PBE.

Values from the calculation:
* energy relative to the elements, uncorrected: -1.121 eV/atom
* symmetry: No. 127
* E: -25.2 eV/cell
* magnetic moment: 0.00 μB per formula unit

Cell: 8.831 8.831 4.558 Å, 90.00 90.00 90.00°
Fractional coordinates of all 10 atoms:
Sr 0.177 0.323 0.000
Sr 0.323 0.823 0.000
Sr 0.677 0.177 0.000
Sr 0.823 0.677 0.000
Hg 0.000 0.000 0.000
Hg 0.500 0.500 0.000
Br 0.141 0.641 0.500
Br 0.359 0.141 0.500
Br 0.641 0.859 0.500
Br 0.859 0.359 0.500